1.
This record from Alexandria via LeMat-Bulk describes an optimized crystal structure of Ce2CuAg3S6. The functional is GGA-PBE.

Lattice parameters (Å, degrees): 6.832 11.985 6.433 90.00 110.45 90.00
Space group C2/m (No. 12)
Symmetry-distinct sites (fractional):
Ce 0.000 0.165 0.000
Cu 0.000 0.500 0.000
Ag 0.000 0.000 0.500
Ag 0.000 0.320 0.500
S 0.238 0.340 0.240
S 0.238 0.500 0.764

Summary:
Formation energy without anion corrections, eV/atom: -0.855
D(E_F), states/eV per atom: 0.050
Volume, Å³ per cell: 493.51
Total DFT energy (no corrections), eV per atom: -4.9622

=====

2.
This record from Alexandria via LeMat-Bulk describes an optimized crystal structure of CeScCuAg. The functional is GGA-PBE.

Lattice parameters (Å, degrees): 7.037 7.037 7.037 90.00 90.00 90.00
Space group F-43m (No. 216)
Symmetry-distinct sites (fractional):
Ce 0.000 0.000 0.000
Sc 0.000 0.000 0.500
Cu 0.250 0.250 0.750
Ag 0.250 0.250 0.250

Summary:
D(E_F), states/eV per atom: 2.075
Volume, Å³ per cell: 348.47
Total DFT energy (no corrections), eV per atom: -4.8866

=====

3.
This record from Alexandria via LeMat-Bulk describes an optimized crystal structure of Ce3CuAg3Se8. The functional is GGA-PBE.

Lattice parameters (Å, degrees): 13.390 8.466 7.929 90.00 121.97 90.00
Space group C2/m (No. 12)
Symmetry-distinct sites (fractional):
Ce 0.000 0.000 0.000
Ce 0.250 0.250 0.500
Cu 0.000 0.500 0.000
Ag 0.000 0.500 0.500
Ag 0.250 0.250 0.000
Se 0.000 0.250 0.245
Se 0.219 0.500 0.218
Se 0.246 0.500 0.747

Summary:
Formation energy without anion corrections, eV/atom: -0.898
D(E_F), states/eV per atom: 0.817
Volume, Å³ per cell: 762.48
Total DFT energy (no corrections), eV per atom: -4.7865

=====

4.
This record from Alexandria via LeMat-Bulk describes an optimized crystal structure of Ce2CuAgSe5. The functional is GGA-PBE.

Lattice parameters (Å, degrees): 4.141 17.527 11.185 90.00 90.00 90.00
Space group Cmc2_1 (No. 36)
Symmetry-distinct sites (fractional):
Ce 0.000 0.105 0.000
Ce 0.000 0.124 0.386
Cu 0.000 0.409 0.192
Ag 0.000 0.201 0.690
Se 0.000 0.025 0.764
Se 0.000 0.290 0.027
Se 0.000 0.309 0.363
Se 0.000 0.358 0.696
Se 0.000 0.479 0.998

Summary:
Formation energy without anion corrections, eV/atom: -1.084
D(E_F), states/eV per atom: 1.039
Volume, Å³ per cell: 811.83
Total DFT energy (no corrections), eV per atom: -5.1108

=====

5.
This record from Alexandria via LeMat-Bulk describes an optimized crystal structure of CeSmCuAg. The functional is GGA-PBE.

Lattice parameters (Å, degrees): 7.288 7.288 7.288 90.00 90.00 90.00
Space group F-43m (No. 216)
Symmetry-distinct sites (fractional):
Ce 0.000 0.000 0.000
Sm 0.000 0.000 0.500
Cu 0.250 0.250 0.750
Ag 0.250 0.250 0.250

Summary:
D(E_F), states/eV per atom: 2.142
Volume, Å³ per cell: 387.07
Total DFT energy (no corrections), eV per atom: -4.4943

=====

6.
This record from Alexandria via LeMat-Bulk describes an optimized crystal structure of CeCuAgSn. The functional is GGA-PBE.

Lattice parameters (Å, degrees): 6.966 6.966 6.966 90.00 90.00 90.00
Space group F-43m (No. 216)
Symmetry-distinct sites (fractional):
Ce 0.000 0.000 0.000
Cu 0.250 0.250 0.750
Ag 0.250 0.250 0.250
Sn 0.000 0.000 0.500

Summary:
D(E_F), states/eV per atom: 1.300
Volume, Å³ per cell: 337.96
Total DFT energy (no corrections), eV per atom: -4.5110

=====

7.
This record from Alexandria via LeMat-Bulk describes an optimized crystal structure of TbCeCuAg. The functional is GGA-PBE.

Lattice parameters (Å, degrees): 7.230 7.230 7.230 90.00 90.00 90.00
Space group F-43m (No. 216)
Symmetry-distinct sites (fractional):
Tb 0.000 0.000 0.000
Ce 0.000 0.000 0.500
Cu 0.250 0.250 0.250
Ag 0.250 0.250 0.750

Summary:
D(E_F), states/eV per atom: 2.098
Volume, Å³ per cell: 377.90
Total DFT energy (no corrections), eV per atom: -4.4945

=====

8.
This record from Alexandria via LeMat-Bulk describes an optimized crystal structure of CeThCuAg. The functional is GGA-PBE.

Lattice parameters (Å, degrees): 7.306 7.306 7.306 90.00 90.00 90.00
Space group F-43m (No. 216)
Symmetry-distinct sites (fractional):
Ce 0.000 0.000 0.000
Th 0.000 0.000 0.500
Cu 0.250 0.250 0.750
Ag 0.250 0.250 0.250

Summary:
D(E_F), states/eV per atom: 1.912
Volume, Å³ per cell: 390.05
Total DFT energy (no corrections), eV per atom: -5.0761

=====

9.
This record from Alexandria via LeMat-Bulk describes an optimized crystal structure of CeTlCuAg. The functional is GGA-PBE.

Lattice parameters (Å, degrees): 7.026 7.026 7.026 90.00 90.00 90.00
Space group F-43m (No. 216)
Symmetry-distinct sites (fractional):
Ce 0.000 0.000 0.000
Tl 0.000 0.000 0.500
Cu 0.250 0.250 0.750
Ag 0.250 0.250 0.250

Summary:
D(E_F), states/eV per atom: 1.412
Volume, Å³ per cell: 346.79
Total DFT energy (no corrections), eV per atom: -3.9173

=====

10.
This record from Alexandria via LeMat-Bulk describes an optimized crystal structure of CeTmCuAg. The functional is GGA-PBE.

Lattice parameters (Å, degrees): 7.169 7.169 7.169 90.00 90.00 90.00
Space group F-43m (No. 216)
Symmetry-distinct sites (fractional):
Ce 0.000 0.000 0.000
Tm 0.000 0.000 0.500
Cu 0.250 0.250 0.250
Ag 0.250 0.250 0.750

Summary:
D(E_F), states/eV per atom: 1.977
Volume, Å³ per cell: 368.44
Total DFT energy (no corrections), eV per atom: -4.4730

=====

11.
This record from Alexandria via LeMat-Bulk describes an optimized crystal structure of CeYCuAg. The functional is GGA-PBE.

Lattice parameters (Å, degrees): 7.231 7.231 7.231 90.00 90.00 90.00
Space group F-43m (No. 216)
Symmetry-distinct sites (fractional):
Ce 0.000 0.000 0.000
Y 0.000 0.000 0.500
Cu 0.250 0.250 0.250
Ag 0.250 0.250 0.750

Summary:
D(E_F), states/eV per atom: 2.086
Volume, Å³ per cell: 378.13
Total DFT energy (no corrections), eV per atom: -4.9551

=====

12.
This record from Alexandria via LeMat-Bulk describes an optimized crystal structure of Ce2Zn3Cu12Ag. The functional is GGA-PBE.

Lattice parameters (Å, degrees): 6.3312 6.3312 26.5992 90.00 90.00 120.00
Space group R-3m (No. 166, hexagonal axes)
Symmetry-distinct sites (fractional):
Ce 0.0000 0.0000 0.1421
Zn 0.0000 0.5000 0.0000
Cu 0.0446 0.5223 0.9008
Cu 0.0807 0.5403 0.6228
Ag 0.0000 0.0000 0.5000

Summary:
D(E_F), states/eV per atom: 0.859
Volume, Å³ per cell: 923.37
Total DFT energy (no corrections), eV per atom: -3.5891